1.
# PrNdBi2

A relaxed structure of PrNdBi2 (GGA-PBE, Alexandria).

```
8
Lattice="4.628 0.000 0.000 0.000 6.535 0.000 0.000 0.000 9.249" Properties=species:S:1:pos:R:3 pbc="T T T"
Pr 1.157 1.634 1.157
Pr 3.471 4.902 8.092
Nd 1.157 1.634 5.779
Nd 3.471 4.902 3.471
Bi 1.157 4.902 1.169
Bi 1.157 4.902 5.768
Bi 3.471 1.634 3.481
Bi 3.471 1.634 8.080
```

symmetry = Pmmn, No. 59
energy above the lowest structure with this stoichiometry = 0 meV/atom
ΔE_f = -0.96 eV/atom



2.
# Pr5Nd3Bi8

A relaxed structure of Pr5Nd3Bi8 (GGA-PBE, Alexandria).

```
16
Lattice="4.630 2.673 7.561 -4.630 2.673 7.561 0.000 -5.346 7.561" Properties=species:S:1:pos:R:3 pbc="T T T"
Pr 0.000 0.000 0.000
Pr -2.315 -1.337 7.561
Pr -2.315 1.337 15.122
Pr 0.000 2.673 7.561
Pr 0.000 0.000 11.342
Nd -4.630 0.000 11.342
Nd -2.315 1.337 3.781
Nd 2.315 1.337 3.781
Bi 0.000 0.000 5.656
Bi -2.321 -1.340 13.222
Bi 0.000 -2.680 9.462
Bi -2.321 1.340 9.462
Bi 2.321 -1.340 13.222
Bi 0.000 2.680 13.222
Bi 2.321 1.340 9.462
Bi 0.000 0.000 17.028
```

symmetry = R-3m, No. 166
ΔE_f = -0.96 eV/atom



3.
# PrNd3Bi4

A relaxed structure of PrNd3Bi4 (GGA-PBE, Alexandria).

```
8
Lattice="4.617 -6.529 0.000 4.617 6.529 0.000 0.000 0.000 4.620" Properties=species:S:1:pos:R:3 pbc="T T T"
Pr 0.000 0.000 0.000
Nd 2.309 3.264 2.310
Nd 2.309 -3.264 2.310
Nd 4.617 0.000 0.000
Bi 2.321 0.000 2.310
Bi 4.617 3.256 0.000
Bi 4.617 -3.256 0.000
Bi 6.914 0.000 2.310
```

symmetry = Cmmm, No. 65
energy above the lowest structure with this stoichiometry = 6 meV/atom
ΔE_f = -0.95 eV/atom



4.
# Pr5NdBi6

A relaxed structure of Pr5NdBi6 (GGA-PBE, Alexandria).

```
12
Lattice="4.015 -6.955 0.000 4.015 6.955 0.000 -2.680 0.000 7.571" Properties=species:S:1:pos:R:3 pbc="T T T"
Pr 0.000 0.000 0.000
Pr 2.675 4.639 3.786
Pr 4.015 2.324 0.000
Pr 4.015 -2.324 0.000
Pr 2.675 -4.639 3.786
Nd 2.675 0.000 3.786
Bi 1.341 2.312 1.899
Bi 0.006 0.000 5.675
Bi 1.341 -2.312 1.899
Bi 4.008 2.312 5.672
Bi 5.343 0.000 1.896
Bi 4.008 -2.312 5.672
```

symmetry = C2/m, No. 12
ΔE_f = -0.96 eV/atom



5.
# PrNd4Bi2

A relaxed structure of PrNd4Bi2 (GGA-PBE, Alexandria).

```
7
Lattice="-2.752 2.752 8.607 2.752 -2.752 8.607 2.752 2.752 -8.607" Properties=species:S:1:pos:R:3 pbc="T T T"
Pr 0.000 0.000 0.000
Nd 2.752 0.000 0.000
Nd 0.000 0.000 3.121
Nd 0.000 2.752 0.000
Nd 0.000 0.000 14.093
Bi 0.000 0.000 6.296
Bi 0.000 0.000 10.918
```

symmetry = I4/mmm, No. 139
ΔE_f = 0.17 eV/atom



6.
# Pr2NdScBi4

A relaxed structure of Pr2NdScBi4 (GGA-PBE, Alexandria).

```
8
Lattice="7.872 0.000 0.000 0.000 4.554 0.000 -2.632 0.000 7.424" Properties=species:S:1:pos:R:3 pbc="T T T"
Pr 0.000 0.000 0.000
Pr -1.316 2.277 3.712
Nd 2.620 0.000 3.712
Sc 3.936 2.277 0.000
Bi 1.404 2.277 1.805
Bi 0.087 0.000 5.685
Bi 5.153 0.000 1.739
Bi 3.836 2.277 5.619
```

symmetry = P2/m, No. 10
ΔE_f = -0.86 eV/atom